The following is a DFT calculation (PBE) of a relaxed structure of CdSn2H12O6F6.

abc: 6.8743 7.2322 7.2985
angles: 75.79 78.85 70.79
Closest atoms and distances in Å follow each position.
Element x y z (fractional)
Cd 0.0000 0.0000 0.0000  6 O 2.30-2.38
Sn 0.6639 0.6828 0.6405  3 F 2.11-2.14
Sn 0.3361 0.3172 0.3595  3 F 2.11-2.14
H 0.6353 0.9033 0.1937  1 O 0.99
H 0.2674 0.8955 0.2869  1 O 0.99
H 0.0917 0.7896 0.3780  1 O 1.00
H 0.7411 0.7425 0.0594  1 O 0.99
H 0.1188 0.7280 0.7409  1 O 1.00
H 0.2380 0.6182 0.9219  1 O 1.00
H 0.7620 0.3818 0.0781  1 O 1.00
H 0.8812 0.2720 0.2591  1 O 1.00
H 0.2589 0.2575 0.9406  1 O 0.99
H 0.9083 0.2104 0.6220  1 O 1.00
H 0.7326 0.1045 0.7131  1 O 0.99
H 0.3647 0.0967 0.8063  1 O 0.99
O 0.1819 0.8216 0.2579  2 H 0.99-1.00
O 0.7707 0.8208 0.1396  2 H 0.99
O 0.2035 0.7463 0.8276  2 H 1.00
O 0.7965 0.2537 0.1724  2 H 1.00
O 0.2293 0.1792 0.8604  2 H 0.99
O 0.8181 0.1784 0.7421  2 H 0.99-1.00
F 0.5775 0.9817 0.6838  2 H 1.64-1.67
F 0.9712 0.7095 0.5881  2 H 1.66-1.70
F 0.7054 0.6001 0.9319  2 H 1.65
F 0.2946 0.3999 0.0681  2 H 1.65
F 0.0288 0.2905 0.4119  2 H 1.66-1.70
F 0.4225 0.0183 0.3162  2 H 1.64-1.67

Results
**Symmetry**: No. 2
**E_tot**: -4.809 eV/atom
**N(E_F)**: 0.00 states/eV/atom
**Magnetic moment**: 0.0 μB per formula unit